Material: Sc4ZnSiN2
Method: DFT, GGA-PBE
State: optimized geometry

Unit cell a=3.2046 b=3.2046 c=13.8423 alpha=90.00 beta=90.00 gamma=120.00
Atoms (fractional coordinates):
Sc: 0.6667 0.3333 0.8454
Sc: 0.6667 0.3333 0.1546
N: 0.3333 0.6667 0.2436
N: 0.3333 0.6667 0.7564
Si: 0.0000 0.0000 0.0000
Sc: 0.0000 0.0000 0.3338
Sc: 0.0000 0.0000 0.6662
Zn: 0.6667 0.3333 0.5000

Results
Symmetry: P-6m2
Electronic total energy, eV/atom: -7.213
Total magnetic moment, μB per formula unit: 0.005